A plane-wave DFT calculation with PBE-GGA was carried out for crystalline ZrHgAu at its relaxed geometry.

Cell lengths 5.1922, 5.1922, 5.1922 Å; angles 144.58, 130.64, 62.21 degrees
Closest atoms and distances in Å follow each position.
Sites, in units of the cell vectors:
Au: 0.0018 0.0018 0.0000  5 Hg 2.94-3.07, 5 Zr 2.99-3.05, 2 Au 3.16
Hg: 0.3328 0.3328 0.0000  5 Au 2.94-3.07, 5 Zr 2.96-3.07, 2 Hg 3.16
Zr: 0.6654 0.6654 0.0000  5 Hg 2.96-3.07, 5 Au 2.99-3.05, 2 Zr 3.16

raw total energy = -12.80 eV per cell
space group = Imm2, No. 44
energy relative to the elements = -0.22 eV per atom

A plane-wave DFT calculation with PBE-GGA was carried out for crystalline TbZrCu4 at its relaxed geometry.

Cell lengths 5.1637, 5.1637, 5.1637 Å; angles 60.00, 60.00, 60.00 degrees
Closest atoms and distances in Å follow each position.
Sites, in units of the cell vectors:
Tb: 0.0000 0.0000 0.0000  12 Cu 3.03, 4 Zr 3.16
Cu: 0.6243 0.6243 0.1272  6 Cu 2.57-2.60
Cu: 0.6243 0.1272 0.6243  6 Cu 2.57-2.60
Cu: 0.6243 0.6243 0.6243  6 Cu 2.57-2.60
Cu: 0.1272 0.6243 0.6243  6 Cu 2.57-2.60
Zr: 0.2500 0.2500 0.2500  12 Cu 3.03, 4 Tb 3.16

raw total energy = -30.04 eV per cell
space group = F-43m, No. 216
energy relative to the elements = -0.08 eV per atom

A plane-wave DFT calculation with PBE-GGA was carried out for crystalline BaNa2Tc2N4 at its relaxed geometry.

Cell lengths 3.5318, 7.9974, 9.2163 Å; angles 139.41, 90.00, 102.76 degrees
Closest atoms and distances in Å follow each position.
Sites, in units of the cell vectors:
Ba: 0.0000 0.0000 0.0000  6 N 2.80-2.85
Na: 0.8726 0.7452 0.4514  4 N 2.45-2.65
Na: 0.1274 0.2548 0.5486  4 N 2.45-2.65
Tc: 0.3421 0.6843 0.0707  1 N 1.80
Tc: 0.6579 0.3157 0.9293  1 N 1.80
N: 0.7705 0.5411 0.8884  3 Tc 2.07
N: 0.2295 0.4589 0.1116  3 Tc 2.07
N: 0.5208 0.0416 0.2621  1 Tc 1.80
N: 0.4792 0.9584 0.7379  1 Tc 1.80

raw total energy = -60.50 eV per cell
space group = C2/m, No. 12
E_form (uncorrected) = -0.2122 eV/atom

A plane-wave DFT calculation with PBE-GGA was carried out for crystalline Ba3Si2AgO8 at its relaxed geometry.

Cell lengths 5.8138, 5.8138, 7.5405 Å; angles 90.00, 90.00, 120.00 degrees
Closest atoms and distances in Å follow each position.
Sites, in units of the cell vectors:
Ba: 0.3333 0.6667 0.6675  1 O 2.54
Ba: 0.6667 0.3333 0.3325  1 O 2.54
Ba: 0.0000 0.0000 0.0000  6 O 2.87
Si: 0.3333 0.6667 0.2195  4 O 1.62-1.66
Si: 0.6667 0.3333 0.7805  4 O 1.62-1.66
Ag: 0.0000 0.0000 0.5000  6 O 2.37
O: 0.3333 0.6667 0.0042  1 Si 1.62
O: 0.6667 0.3333 0.9958  1 Si 1.62
O: 0.1789 0.8211 0.2963  1 Si 1.66
O: 0.8211 0.1789 0.7037  1 Si 1.66
O: 0.1789 0.3577 0.2963  1 Si 1.66
O: 0.8211 0.6423 0.7037  1 Si 1.66
O: 0.6423 0.8211 0.2963  1 Si 1.66
O: 0.3577 0.1789 0.7037  1 Si 1.66

raw total energy = -93.75 eV per cell
space group = P-3m1, No. 164
E_form (uncorrected) = -2.4724 eV/atom

A plane-wave DFT calculation with PBE-GGA was carried out for crystalline Pa3Tl3CoS8 at its relaxed geometry.

Cell lengths 7.7842, 7.7789, 8.9519 Å; angles 115.69, 90.00, 120.02 degrees
Closest atoms and distances in Å follow each position.
Sites, in units of the cell vectors:
Pa: 0.5000 0.0000 0.5000  6 S 2.71-2.74
Pa: 0.5000 0.5000 0.5000  6 S 2.71-2.74
Pa: 0.0000 0.5000 0.5000  6 S 2.71-2.74
Tl: 0.0000 0.0000 0.0000  6 S 3.22-3.28
Tl: 0.0000 0.5000 0.0000  6 S 3.22-3.28
Tl: 0.5000 0.5000 0.0000  6 S 3.22-3.28
Co: 0.0000 0.0000 0.5000  6 S 2.60-2.61
S: 0.2661 0.5322 0.2983  3 Pa 2.74
S: 0.7339 0.4678 0.7017  3 Pa 2.74
S: 0.7776 0.5552 0.3138  1 Co 2.60, 2 Pa 2.71
S: 0.2224 0.4448 0.6862  1 Co 2.60, 2 Pa 2.71
S: 0.7768 0.0364 0.3131  1 Co 2.61, 2 Pa 2.71
S: 0.2232 0.9636 0.6869  1 Co 2.61, 2 Pa 2.71
S: 0.2595 0.0364 0.3131  1 Co 2.61, 2 Pa 2.71
S: 0.7405 0.9636 0.6869  1 Co 2.61, 2 Pa 2.71

raw total energy = -90.81 eV per cell
space group = C2/m, No. 12
E_form (uncorrected) = -1.0068 eV/atom

A plane-wave DFT calculation with PBE-GGA was carried out for crystalline BaLaCo3 at its relaxed geometry.

Cell lengths 4.8360, 4.8360, 4.8360 Å; angles 90.00, 90.00, 90.00 degrees
Closest atoms and distances in Å follow each position.
Sites, in units of the cell vectors:
Co: 0.0000 0.5000 0.0000  2 La 2.42
Co: 0.0000 0.0000 0.5000  2 La 2.42
Co: 0.5000 0.0000 0.0000  2 La 2.42
Ba: 0.5000 0.5000 0.5000  12 Co 3.42
La: 0.0000 0.0000 0.0000  6 Co 2.42

raw total energy = -23.00 eV per cell
space group = Pm-3m, No. 221
energy relative to the elements = 1.03 eV per atom